Entry 1:
Computed, not measured: crystalline BaNd5S6 at its relaxed geometry at the GGA-PBE level of DFT.

Unit cell a=7.1598 b=12.4002 c=7.1855 alpha=90.00 beta=109.45 gamma=90.00
Space group C2/m (No. 12)
Inequivalent atoms, fractional coordinates:
Ba1 0.0000 0.0000 0.0000 x2
Nd1 0.0000 0.1615 0.5000 x4
Nd2 0.0000 0.3332 0.0000 x4
Nd3 0.0000 0.5000 0.5000 x2
S1 0.2375 0.5000 0.2541 x4
S2 0.2394 0.3265 0.7391 x8

E: -148.9 eV for the cell shown



Entry 2:
Computed, not measured: crystalline BaNdS2 at its relaxed geometry at the GGA-PBE level of DFT.

Unit cell a=4.1792 b=4.1792 c=7.5291 alpha=90.00 beta=90.00 gamma=120.00
Space group P-3m1 (No. 164)
Inequivalent atoms, fractional coordinates:
Ba1 0.0000 0.0000 0.0000 x1
Nd1 0.0000 0.0000 0.5000 x1
S1 0.3333 0.6667 0.7191 x2

Relative energy among the computed polymorphs: 0.52 eV/f.u.



Entry 3:
Computed, not measured: crystalline Ba2Nd3S6 at its relaxed geometry at the GGA-PBE level of DFT.

Unit cell a=7.2335 b=12.5110 c=7.7049 alpha=90.00 beta=108.07 gamma=90.00
Space group C2/m (No. 12)
Inequivalent atoms, fractional coordinates:
Ba1 0.0000 0.1675 0.0000 x4
Nd1 0.0000 0.0000 0.5000 x2
Nd2 0.0000 0.3361 0.5000 x4
S1 0.2352 0.1691 0.7141 x8
S2 0.2437 0.5000 0.7179 x4

E: -131.0 eV for the cell shown



Entry 4:
Computed, not measured: crystalline BaNd4S5 at its relaxed geometry at the GGA-PBE level of DFT.

Unit cell a=13.8566 b=4.1206 c=10.2150 alpha=90.00 beta=119.71 gamma=90.00
Space group C2/m (No. 12)
Inequivalent atoms, fractional coordinates:
Ba1 0.0000 0.0000 0.0000 x2
Nd1 0.0955 0.5000 0.4014 x4
Nd2 0.1992 0.0000 0.7871 x4
S1 0.0000 0.0000 0.5000 x2
S2 0.1128 0.5000 0.8943 x4
S3 0.2037 0.0000 0.3144 x4

E: -123.3 eV for the cell shown



Computed total magnetization (Bohr magnetons per cell) in order:
0.000 0.000 0.000 0.000